# 1
VASP calculation (PBE) on a relaxed structure of CePr3Ho3Se8.

The structure in POSCAR format:
```
CePr3Ho3Se8
1.0
8.2825 0.0000 0.0000
-4.1412 7.1733 -0.0247
0.0000 -4.7579 6.8430
Se Pr Ho Ce
8 3 3 1
direct
0.7449 0.4897 0.2573 Se
0.2551 0.5103 0.7427 Se
0.2675 0.0124 0.2573 Se
0.7325 0.9876 0.7427 Se
0.2552 0.9876 0.7427 Se
0.7441 0.4882 0.7324 Se
0.2559 0.5118 0.2676 Se
0.7448 0.0124 0.2573 Se
0.5000 0.5000 0.0000 Pr
0.0000 0.5000 0.0000 Pr
0.0000 0.0000 0.0000 Pr
0.5000 0.5000 0.5000 Ho
0.5000 0.0000 0.5000 Ho
0.0000 0.5000 0.5000 Ho
0.0000 0.0000 0.5000 Ce
```

Computed properties:
- formation energy without anion corrections (eV per atom) = -1.8275
- electronic total energy (eV/atom) = -5.953



# 2
VASP calculation (PBE) on a relaxed structure of CsHfAg3.

The structure in POSCAR format:
```
CsHfAg3
1.0
-5.4963 0.7446 0.2415
-0.5528 -2.4799 -4.9363
-0.5542 -4.9110 2.5292
Cs Ag Hf
1 3 1
direct
0.5000 0.5000 0.5000 Cs
0.0000 0.0000 0.5000 Ag
0.5000 0.0000 0.0000 Ag
0.0000 0.5000 0.0000 Ag
0.0000 0.0000 0.0000 Hf
```

Computed properties:
- electronic total energy (eV/atom) = -3.201
- E_form (eV/atom) = 0.6710



# 3
VASP calculation (PBE) on a relaxed structure of Ba2USe6.

The structure in POSCAR format:
```
Ba2USe6
1.0
4.9430 0.0000 0.4757
0.0000 8.1790 0.0000
-1.1664 -4.0895 7.1134
Se Ba U
6 2 1
direct
0.8250 0.0865 0.7149 Se
0.8250 0.6284 0.7149 Se
0.1750 0.3716 0.2851 Se
0.5000 0.2193 0.0000 Se
0.1750 0.9135 0.2851 Se
0.5000 0.7807 0.0000 Se
0.6851 0.6694 0.3389 Ba
0.3149 0.3306 0.6611 Ba
0.0000 0.0000 0.0000 U
```

Computed properties:
- formation energy without anion corrections (eV per atom) = -1.2815
- distance to the lowest polymorph of the same formula (eV per atom) = 0.012
- electronic total energy (eV/atom) = -5.286



# 4
VASP calculation (PBE) on a relaxed structure of NdTm2Sc7.

The structure in POSCAR format:
```
NdTm2Sc7
1.0
5.0546 0.0000 0.0000
0.0000 7.5013 0.0000
0.0000 -3.7506 8.4866
Sc Tm Nd
7 2 1
direct
0.0000 0.4070 0.8139 Sc
0.0000 0.5930 0.1861 Sc
0.5000 0.1005 0.8056 Sc
0.5000 0.7051 0.8056 Sc
0.5000 0.8995 0.1944 Sc
0.5000 0.2949 0.1944 Sc
0.5000 0.5000 0.0000 Sc
0.5000 0.7364 0.4728 Tm
0.5000 0.2636 0.5272 Tm
0.0000 0.0000 0.0000 Nd
```

Computed properties:
- electronic total energy (eV/atom) = -5.187
- E_form (eV/atom) = 0.6158



# 5
VASP calculation (PBE) on a relaxed structure of Ac2SmSb3Pt4.

The structure in POSCAR format:
```
Ac2SmSb3Pt4
1.0
-1.0430 -4.4418 1.0355
-0.5220 -0.9390 -4.5536
11.0494 -2.7573 -0.6981
Sb Pt Ac Sm
3 4 2 1
direct
0.5000 0.0000 0.8765 Sb
0.0000 0.5000 0.1235 Sb
0.0000 0.0000 0.5000 Sb
0.5000 0.5000 0.0000 Pt
0.0000 0.5000 0.3543 Pt
0.0000 0.0000 0.0000 Pt
0.5000 0.0000 0.6457 Pt
0.0000 0.5000 0.7805 Ac
0.5000 0.0000 0.2195 Ac
0.5000 0.5000 0.5000 Sm
```

Computed properties:
- formation energy without anion corrections (eV per atom) = -0.9743
- electronic total energy (eV/atom) = -5.921



# 6
VASP calculation (PBE) on a relaxed structure of La2SnPd2.

The structure in POSCAR format:
```
La2SnPd2
1.0
-0.4265 -1.2504 -5.5711
-1.6509 -5.3210 1.3207
-4.9524 -2.0650 -2.0996
Sn La Pd
1 2 2
direct
0.0000 0.0000 0.0000 Sn
0.2500 0.7500 0.5000 La
0.7500 0.2500 0.5000 La
0.3430 0.3430 0.3140 Pd
0.6570 0.6570 0.6860 Pd
```

Computed properties:
- electronic total energy (eV/atom) = -5.609
- E_form (eV/atom) = -0.7603



# 7
VASP calculation (PBE) on a relaxed structure of Ac8GeIr3Cl3.

The structure in POSCAR format:
```
Ac8GeIr3Cl3
1.0
8.9114 0.0000 0.0000
-4.4557 7.7171 -0.0286
0.0000 -5.1198 7.4934
Ac Ir Ge Cl
8 3 1 3
direct
0.7378 0.4756 0.7133 Ac
0.2622 0.5244 0.2867 Ac
0.7215 0.9688 0.7161 Ac
0.7526 0.5052 0.2839 Ac
0.2474 0.4948 0.7161 Ac
0.2473 0.9688 0.7161 Ac
0.2785 0.0312 0.2839 Ac
0.7527 0.0312 0.2839 Ac
0.5000 0.5000 0.5000 Ir
0.0000 0.5000 0.5000 Ir
0.5000 0.0000 0.5000 Ir
0.0000 0.0000 0.5000 Ge
0.5000 0.5000 0.0000 Cl
0.0000 0.0000 0.0000 Cl
0.0000 0.5000 0.0000 Cl
```

Computed properties:
- formation energy without anion corrections (eV per atom) = -1.0779
- electronic total energy (eV/atom) = -5.718



# 8
VASP calculation (PBE) on a relaxed structure of Cd2NiCl.

The structure in POSCAR format:
```
Cd2NiCl
1.0
-3.8075 -3.1779 -0.1973
3.7218 -3.1425 0.9529
-0.4697 0.3715 3.0630
Ni Cd Cl
1 2 1
direct
0.0000 0.5000 0.5000 Ni
0.0000 0.0000 0.0000 Cd
0.5000 0.5000 0.0000 Cd
0.5000 0.0000 0.5000 Cl
```

Computed properties:
- formation energy without anion corrections (eV per atom) = 0.0435
- distance to the lowest polymorph of the same formula (eV per atom) = 0.226
- electronic total energy (eV/atom) = -2.321



# 9
VASP calculation (PBE) on a relaxed structure of K2Ba2TcO6.

The structure in POSCAR format:
```
K2Ba2TcO6
1.0
-1.3528 6.0499 -1.3355
-4.2517 -4.4434 -1.5474
-1.4109 0.2606 6.3979
O Tc Ba K
6 1 2 2
direct
0.9606 0.7008 0.3292 O
0.7989 0.7989 0.6850 O
0.7008 0.9606 0.3292 O
0.2011 0.2011 0.3150 O
0.0394 0.2992 0.6708 O
0.2992 0.0394 0.6708 O
0.0000 0.0000 0.5000 Tc
0.3381 0.6619 0.5000 Ba
0.6619 0.3381 0.5000 Ba
0.8546 0.1454 0.0000 K
0.1454 0.8546 0.0000 K
```

Computed properties:
- formation energy without anion corrections (eV per atom) = -1.8651
- electronic total energy (eV/atom) = -6.061



# 10
VASP calculation (PBE) on a relaxed structure of Ce4Hg5Au2.

The structure in POSCAR format:
```
Ce4Hg5Au2
1.0
-2.3200 -1.0269 -2.5068
2.7745 -7.4641 0.4900
-7.1928 -1.1091 7.1113
Hg Ce Au
5 4 2
direct
0.0000 0.8226 0.8484 Hg
0.0000 0.4517 0.6916 Hg
0.0000 0.5483 0.3084 Hg
0.0000 0.1774 0.1516 Hg
0.0000 0.5000 0.0000 Hg
0.5000 0.2531 0.4426 Ce
0.5000 0.8242 0.1274 Ce
0.5000 0.1758 0.8726 Ce
0.5000 0.7469 0.5574 Ce
0.0000 0.0674 0.6367 Au
0.0000 0.9326 0.3633 Au
```

Computed properties:
- electronic total energy (eV/atom) = -3.298
- E_form (eV/atom) = -0.4073



# 11
VASP calculation (PBE) on a relaxed structure of Na2BeNbPb.

The structure in POSCAR format:
```
Na2BeNbPb
1.0
-2.9417 -3.8328 -2.9757
4.5376 -1.1946 -2.9470
1.3970 -4.0015 3.7729
Na Be Nb Pb
2 1 1 1
direct
0.5000 0.0000 0.0000 Na
0.0000 0.0000 0.5000 Na
0.5000 0.5000 0.5000 Be
0.0000 0.5000 0.0000 Nb
0.0000 0.0000 0.0000 Pb
```

Computed properties:
- distance to the lowest polymorph of the same formula (eV per atom) = 0.292
- electronic total energy (eV/atom) = -2.664
- E_form (eV/atom) = 1.3649



# 12
VASP calculation (PBE) on a relaxed structure of Pa6MoN12.

The structure in POSCAR format:
```
Pa6MoN12
1.0
-2.0687 5.1569 3.4377
-4.6885 -0.0785 -4.5501
-2.3152 -4.7343 3.8623
N Pa Mo
12 6 1
direct
0.1749 0.5946 0.4361 N
0.3066 0.9476 0.0664 N
0.4361 0.1749 0.5946 N
0.9476 0.0664 0.3066 N
0.5946 0.4361 0.1749 N
0.6934 0.0524 0.9336 N
0.9336 0.6934 0.0524 N
0.5639 0.8251 0.4054 N
0.0664 0.3066 0.9476 N
0.0524 0.9336 0.6934 N
0.4054 0.5639 0.8251 N
0.8251 0.4054 0.5639 N
0.1348 0.2918 0.6020 Pa
0.3980 0.8652 0.7082 Pa
0.8652 0.7082 0.3980 Pa
0.2918 0.6020 0.1348 Pa
0.6020 0.1348 0.2918 Pa
0.7082 0.3980 0.8652 Pa
0.0000 0.0000 0.0000 Mo
```

Computed properties:
- formation energy without anion corrections (eV per atom) = -1.4776
- electronic total energy (eV/atom) = -10.304